Tl2RhW | PBEsol | relaxed

a = 2.9408 Å, b = 3.0058 Å, c = 8.8455 Å
α = 90.00°, β = 99.56°, γ = 90.00°
Fractional coordinates of all 4 atoms:
1 Rh 0.4535 0.5000 0.2828
2 Tl 0.8336 0.0000 0.0411
3 Tl 0.6700 0.5000 0.7147
4 W 0.0428 0.0000 0.4614

Energy of formation (eV per atom): 0.32
Energy above the lowest structure with this stoichiometry (eV per atom): 0.000

=====

Tl2RhW | PBEsol | relaxed

a = 3.0494 Å, b = 3.0494 Å, c = 9.1625 Å
α = 80.42°, β = 80.42°, γ = 60.00°
Fractional coordinates of all 4 atoms:
1 Rh 0.0000 0.0000 0.0000
2 Tl 0.2541 0.2541 0.2376
3 Tl 0.7459 0.7459 0.7624
4 W 0.5000 0.5000 0.5000

Energy of formation (eV per atom): 0.66
Energy above the lowest structure with this stoichiometry (eV per atom): 0.339

=====

Y2TlRh | PBEsol | relaxed

a = 4.4726 Å, b = 5.1931 Å, c = 5.2042 Å
α = 119.93°, β = 115.45°, γ = 90.00°
Fractional coordinates of all 4 atoms:
1 Rh 0.5000 0.0000 0.0000
2 Tl 0.0000 0.5000 0.0000
3 Y 0.7750 0.7750 0.5500
4 Y 0.2250 0.2250 0.4500

Energy of formation (eV per atom): -0.51

=====

Y2TlRh | PBEsol | relaxed

a = 3.7711 Å, b = 3.7929 Å, c = 8.4085 Å
α = 102.84°, β = 90.00°, γ = 119.81°
Fractional coordinates of all 4 atoms:
1 Y 0.7657 0.5314 0.7980
2 Y 0.2343 0.4686 0.2020
3 Tl 0.0000 0.0000 0.5000
4 Rh 0.5000 0.0000 0.0000

Energy of formation (eV per atom): -0.50

=====

YTl2Rh | PBEsol | relaxed

a = 3.4683 Å, b = 4.9363 Å, c = 6.0765 Å
α = 113.32°, β = 105.71°, γ = 92.07°
Fractional coordinates of all 4 atoms:
1 Rh 0.0000 0.5000 0.0000
2 Tl 0.0000 0.0000 0.5000
3 Tl 0.5000 0.5000 0.5000
4 Y 0.5000 0.0000 0.0000

Energy of formation (eV per atom): -0.02

=====

YTl2Rh | PBEsol | relaxed

a = 4.1722 Å, b = 4.8375 Å, c = 5.3457 Å
α = 116.90°, β = 112.97°, γ = 90.00°
Fractional coordinates of all 4 atoms:
1 Rh 0.2453 0.7453 0.4905
2 Tl 0.9855 0.9855 0.9710
3 Tl 0.7496 0.2496 0.4991
4 Y 0.5197 0.5197 0.0394

Energy of formation (eV per atom): -0.20

=====

YTlRh | PBEsol | relaxed

a = 3.3144 Å, b = 4.6820 Å, c = 4.6820 Å
α = 120.00°, β = 90.00°, γ = 90.00°
Fractional coordinates of all 3 atoms:
1 Rh 0.0000 0.0000 0.0000
2 Tl 0.0000 0.3333 0.6667
3 Y 0.5000 0.6667 0.3333

Energy of formation (eV per atom): -0.41

=====

Y2TlRh2 | PBEsol | relaxed

a = 3.8993 Å, b = 3.8993 Å, c = 7.9456 Å
α = 104.20°, β = 104.20°, γ = 90.00°
Fractional coordinates of all 5 atoms:
1 Y 0.3780 0.3780 0.7561
2 Y 0.6220 0.6220 0.2439
3 Tl 0.0000 0.0000 0.0000
4 Rh 0.2500 0.7500 0.5000
5 Rh 0.7500 0.2500 0.5000

Energy of formation (eV per atom): -0.31

=====

Y2TlRh | PBEsol | relaxed

a = 4.8959 Å, b = 4.8959 Å, c = 4.8959 Å
α = 60.00°, β = 60.00°, γ = 60.00°
Fractional coordinates of all 4 atoms:
1 Rh 0.5000 0.5000 0.5000
2 Tl 0.2500 0.2500 0.2500
3 Y 0.0000 0.0000 0.0000
4 Y 0.7500 0.7500 0.7500

Energy of formation (eV per atom): -0.39

=====

YTlRh | PBEsol | relaxed

a = 4.6243 Å, b = 4.6243 Å, c = 4.6243 Å
α = 60.00°, β = 60.00°, γ = 60.00°
Fractional coordinates of all 3 atoms:
1 Rh 0.2500 0.2500 0.2500
2 Tl 0.0000 0.0000 0.0000
3 Y 0.5000 0.5000 0.5000

Energy of formation (eV per atom): -0.44

=====

Y2TlRh | PBEsol | relaxed

a = 3.4374 Å, b = 3.4374 Å, c = 7.7181 Å
α = 90.00°, β = 90.00°, γ = 90.00°
Fractional coordinates of all 4 atoms:
1 Y 0.0000 0.0000 0.2852
2 Y 0.0000 0.0000 0.7148
3 Tl 0.5000 0.5000 0.0000
4 Rh 0.5000 0.5000 0.5000

Energy of formation (eV per atom): -0.63

=====

TlZn2Rh | PBEsol | relaxed

a = 3.0674 Å, b = 3.0680 Å, c = 7.2593 Å
α = 90.00°, β = 90.39°, γ = 90.00°
Fractional coordinates of all 4 atoms:
1 Rh 0.5000 0.5000 0.0000
2 Tl 0.5000 0.5000 0.5000
3 Zn 0.9968 0.0000 0.8124
4 Zn 0.0032 0.0000 0.1876

Energy of formation (eV per atom): -0.09
Energy above the lowest structure with this stoichiometry (eV per atom): 0.000

=====

TlZnRh | PBEsol | relaxed

a = 3.0495 Å, b = 3.0495 Å, c = 6.4989 Å
α = 90.00°, β = 90.00°, γ = 120.00°
Fractional coordinates of all 3 atoms:
1 Rh 0.0000 0.0000 0.0201
2 Tl 0.3333 0.6667 0.6802
3 Zn 0.6667 0.3333 0.2997

Energy of formation (eV per atom): 0.16
Energy above the lowest structure with this stoichiometry (eV per atom): 0.000

=====

TlZn2Rh | PBEsol | relaxed

a = 3.1673 Å, b = 4.5693 Å, c = 4.5693 Å
α = 105.89°, β = 90.00°, γ = 90.00°
Fractional coordinates of all 4 atoms:
1 Rh 0.5000 0.0000 0.0000
2 Tl 0.5000 0.5000 0.5000
3 Zn 0.0000 0.5000 0.0000
4 Zn 0.0000 0.0000 0.5000

Energy of formation (eV per atom): 0.05
Energy above the lowest structure with this stoichiometry (eV per atom): 0.137

=====

TlZnRh | PBEsol | relaxed

a = 4.3450 Å, b = 4.3450 Å, c = 4.3450 Å
α = 60.00°, β = 60.00°, γ = 60.00°
Fractional coordinates of all 3 atoms:
1 Rh 0.5000 0.5000 0.5000
2 Tl 0.2500 0.2500 0.2500
3 Zn 0.0000 0.0000 0.0000

Energy of formation (eV per atom): 0.46
Energy above the lowest structure with this stoichiometry (eV per atom): 0.302

=====

TlZn2Rh | PBEsol | relaxed

a = 3.0994 Å, b = 4.2337 Å, c = 4.9492 Å
α = 90.00°, β = 90.33°, γ = 90.00°
Fractional coordinates of all 4 atoms:
1 Rh 0.6267 0.0000 0.5036
2 Tl 0.1278 0.5000 0.7070
3 Zn 0.1219 0.0000 0.0834
4 Zn 0.6236 0.5000 0.2060

Energy of formation (eV per atom): 0.00
Energy above the lowest structure with this stoichiometry (eV per atom): 0.091

=====

TmRh3 | PBEsol | relaxed

a = 3.9489 Å, b = 3.9489 Å, c = 3.9489 Å
α = 90.00°, β = 90.00°, γ = 90.00°
Fractional coordinates of all 4 atoms:
1 Tm 0.0000 0.0000 0.0000
2 Rh 0.5000 0.5000 0.0000
3 Rh 0.5000 0.0000 0.5000
4 Rh 0.0000 0.5000 0.5000

Energy of formation (eV per atom): -0.54

=====

TmZnRh2 | PBEsol | relaxed

a = 4.4440 Å, b = 4.4440 Å, c = 4.4440 Å
α = 60.00°, β = 60.00°, γ = 60.00°
Fractional coordinates of all 4 atoms:
1 Zn 0.5000 0.5000 0.5000
2 Tm 0.0000 0.0000 0.0000
3 Rh 0.2500 0.2500 0.2500
4 Rh 0.7500 0.7500 0.7500

Energy of formation (eV per atom): -0.68

=====

URh3 | PBEsol | relaxed

a = 3.9561 Å, b = 3.9561 Å, c = 3.9561 Å
α = 90.00°, β = 90.00°, γ = 90.00°
Fractional coordinates of all 4 atoms:
1 U 0.0000 0.0000 0.0000
2 Rh 0.5000 0.5000 0.0000
3 Rh 0.5000 0.0000 0.5000
4 Rh 0.0000 0.5000 0.5000

Energy of formation (eV per atom): -0.63

=====

V3Rh | PBEsol | relaxed

a = 4.7147 Å, b = 4.7147 Å, c = 4.7147 Å
α = 90.00°, β = 90.00°, γ = 90.00°
Fractional coordinates of all 8 atoms:
1 V 0.5000 0.2500 0.0000
2 V 0.5000 0.7500 0.0000
3 V 0.2500 0.0000 0.5000
4 V 0.7500 0.0000 0.5000
5 V 0.0000 0.5000 0.2500
6 V 0.0000 0.5000 0.7500
7 Rh 0.5000 0.5000 0.5000
8 Rh 0.0000 0.0000 0.0000

Energy of formation (eV per atom): -0.33

=====

Rh8W | PBEsol | relaxed

a = 3.7967 Å, b = 5.9989 Å, c = 5.9989 Å
α = 84.25°, β = 71.55°, γ = 71.55°
Fractional coordinates of all 9 atoms:
1 Rh 0.0000 0.6684 0.3316
2 Rh 0.0000 0.3316 0.6684
3 Rh 0.3316 0.6684 0.6684
4 Rh 0.3366 0.3267 0.0000
5 Rh 0.3366 0.0000 0.3267
6 Rh 0.6684 0.3316 0.3316
7 Rh 0.6634 0.0000 0.6733
8 Rh 0.6634 0.6733 0.0000
9 W 0.0000 0.0000 0.0000

Energy of formation (eV per atom): -0.15

=====

Rh5W | PBEsol | relaxed

a = 4.3162 Å, b = 4.6947 Å, c = 4.6947 Å
α = 120.00°, β = 90.00°, γ = 90.00°
Fractional coordinates of all 6 atoms:
1 Rh 0.0000 0.3360 0.3360
2 Rh 0.0000 0.6640 0.0000
3 Rh 0.0000 0.0000 0.6640
4 Rh 0.5000 0.3333 0.6667
5 Rh 0.5000 0.6667 0.3333
6 W 0.5000 0.0000 0.0000

Energy of formation (eV per atom): -0.19
Energy above the lowest structure with this stoichiometry (eV per atom): 0.000

=====

RhW | PBEsol | relaxed

a = 2.7236 Å, b = 2.7236 Å, c = 3.8885 Å
α = 90.00°, β = 90.00°, γ = 90.00°
Fractional coordinates of all 2 atoms:
1 Rh 0.0000 0.0000 0.0000
2 W 0.5000 0.5000 0.5000

Energy of formation (eV per atom): -0.18

=====

Rh5W | PBEsol | relaxed

a = 2.7201 Å, b = 4.3241 Å, c = 7.1586 Å
α = 90.00°, β = 100.95°, γ = 90.00°
Fractional coordinates of all 6 atoms:
1 Rh 0.0009 0.0000 0.0018
2 Rh 0.6662 0.0000 0.3323
3 Rh 0.3329 0.0000 0.6658
4 Rh 0.5532 0.5000 0.1065
5 Rh 0.2229 0.5000 0.4459
6 W 0.8905 0.5000 0.7810

Energy of formation (eV per atom): -0.15
Energy above the lowest structure with this stoichiometry (eV per atom): 0.044

=====

RhW3 | PBEsol | relaxed

a = 2.6997 Å, b = 4.8344 Å, c = 4.9195 Å
α = 98.63°, β = 90.00°, γ = 106.21°
Fractional coordinates of all 4 atoms:
1 Rh 0.0000 0.0000 0.0000
2 W 0.7397 0.4794 0.2430
3 W 0.5000 0.0000 0.5000
4 W 0.2603 0.5206 0.7570

Energy of formation (eV per atom): 0.14

=====

Rh5W | PBEsol | relaxed

a = 2.7165 Å, b = 5.1341 Å, c = 6.3602 Å
α = 103.82°, β = 90.00°, γ = 105.34°
Fractional coordinates of all 6 atoms:
1 Rh 0.0018 0.0037 0.9998
2 Rh 0.3858 0.7716 0.2707
3 Rh 0.6682 0.3365 0.3336
4 Rh 0.0575 0.1151 0.6143
5 Rh 0.3314 0.6629 0.6690
6 W 0.7218 0.4437 0.9459

Energy of formation (eV per atom): -0.13
Energy above the lowest structure with this stoichiometry (eV per atom): 0.061

=====

RhW3 | PBEsol | relaxed

a = 2.6820 Å, b = 4.5912 Å, c = 4.9456 Å
α = 90.00°, β = 90.00°, γ = 90.00°
Fractional coordinates of all 4 atoms:
1 Rh 0.0000 0.0000 0.9976
2 W 0.0000 0.5000 0.3265
3 W 0.5000 0.0000 0.5130
4 W 0.5000 0.5000 0.8297

Energy of formation (eV per atom): 0.18

=====

RhW2 | PBEsol | relaxed

a = 2.7114 Å, b = 2.7114 Å, c = 6.3822 Å
α = 102.26°, β = 102.26°, γ = 90.00°
Fractional coordinates of all 3 atoms:
1 Rh 0.0000 0.0000 0.0000
2 W 0.3406 0.3406 0.6811
3 W 0.6594 0.6594 0.3189

Energy of formation (eV per atom): -0.05

=====

RhW | PBEsol | relaxed

a = 2.7295 Å, b = 5.2538 Å, c = 6.4928 Å
α = 103.92°, β = 90.00°, γ = 105.06°
Fractional coordinates of all 6 atoms:
1 Rh 0.0060 0.0120 0.0026
2 Rh 0.3885 0.7770 0.2756
3 Rh 0.3292 0.6583 0.6639
4 W 0.6661 0.3323 0.3305
5 W 0.0455 0.0911 0.6161
6 W 0.7314 0.4627 0.9446

Energy of formation (eV per atom): -0.12

=====

RhW3 | PBEsol | relaxed

a = 4.6797 Å, b = 4.6797 Å, c = 4.6797 Å
α = 90.00°, β = 90.00°, γ = 90.00°
Fractional coordinates of all 4 atoms:
1 Rh 0.0000 0.0000 0.0000
2 W 0.0000 0.0000 0.5000
3 W 0.0000 0.5000 0.0000
4 W 0.5000 0.0000 0.0000

Energy of formation (eV per atom): 3.20